Material: Rb4BaV6O18
Method: DFT, PBE+U
State: optimized geometry

Output
Volume, A^3/atom: 19.582
Magnetic moment, μB/f.u.: 0.31
N(E_F), states/eV/f.u.: 0.0
Uncorrected energy, eV per atom: -6.8992

a = 14.0098 Å, b = 14.0098 Å, c = 20.0456 Å
α = 90.00°, β = 90.00°, γ = 120.00°
Space group R3c (No. 161, hexagonal axes)
Symmetry-distinct sites (fractional):
1 Rb 0.0000 0.0000 0.0000
2 Rb 0.0061 0.4206 0.0006
3 Ba 0.0000 0.0000 0.2219
4 V 0.0565 0.2482 0.1374
5 V 0.1440 0.4153 0.5229
6 O 0.0044 0.3451 0.4899
7 O 0.0179 0.4990 0.7337
8 O 0.0254 0.1763 0.9066
9 O 0.0911 0.5403 0.3701
10 O 0.1547 0.0377 0.1188
11 O 0.1971 0.0970 0.2935